Computed, not measured: crystalline NdDyTl2Se4 at its relaxed geometry at the GGA-PBE level of DFT.

```
NdDyTl2Se4
1.0
7.375 0.000 0.000
0.000 4.257 0.000
-2.454 0.000 7.763
Nd Dy Tl Se
1 1 2 4
direct
0.000 0.000 0.000
0.500 0.500 0.000
0.000 0.500 0.500
0.500 0.000 0.500
0.244 0.500 0.209
0.272 0.000 0.794
0.728 0.000 0.206
0.756 0.500 0.791
```

Values from the calculation:
The calculation puts the energy relative to the elements, uncorrected at -1.380 eV/atom. Its total energy is -4.89 eV/atom. The space-group type is No. 10.


Computed, not measured: crystalline MgCo2Ni at its relaxed geometry at the GGA-PBE level of DFT.

```
MgCo2Ni
1.0
8.474 0.000 0.000
0.000 2.596 0.000
-0.816 0.000 4.484
Mg Co Ni
2 4 2
direct
0.000 0.000 0.000
0.500 0.500 0.000
0.238 0.000 0.699
0.497 0.000 0.504
0.738 0.500 0.699
0.997 0.500 0.504
0.257 0.500 0.244
0.757 0.000 0.244
```

Values from the calculation:
Its total energy is -5.29 eV/atom. The space-group type is No. 8. The calculation puts the energy relative to the elements at 0.105 eV per atom.